Ac2ErAs2S2, optimized geometry, DFT GGA-PBE; SG = I4/mmm, No. 139; uncorrected formation energy = -1.377 eV per atom; size of the total moment = 0.0000 μB per atom
1.0
-2.627 2.627 7.667
2.627 -2.627 7.667
2.627 2.627 -7.667
Ac Er As S
2 1 2 2
direct
0.136 0.136 0.000 Ac
0.864 0.864 0.000 Ac
0.500 0.500 0.000 Er
0.000 0.500 0.500 As
0.500 0.000 0.500 As
0.321 0.321 0.000 S
0.679 0.679 0.000 S


Ac2ErAs2Se2, optimized geometry, DFT GGA-PBE; SG = I4/mmm, No. 139; uncorrected formation energy = -1.368 eV per atom; size of the total moment = 0.0000 μB per atom
1.0
-2.618 2.618 7.997
2.618 -2.618 7.997
2.618 2.618 -7.997
Ac Er As Se
2 1 2 2
direct
0.132 0.132 0.000 Ac
0.868 0.868 0.000 Ac
0.500 0.500 0.000 Er
0.000 0.500 0.500 As
0.500 0.000 0.500 As
0.320 0.320 0.000 Se
0.680 0.680 0.000 Se


AcSm2ErAs4, optimized geometry, DFT GGA-PBE; DFT formation energy = -1.466 eV per atom; SG = P2/m, No. 10; size of the total moment = 0.0000 μB per atom
1.0
7.398 0.000 0.000
0.000 4.276 0.000
-2.456 0.000 6.985
Ac Sm Er As
1 2 1 4
direct
0.000 0.000 0.000 Ac
0.000 0.500 0.500 Sm
0.500 0.000 0.500 Sm
0.500 0.500 0.000 Er
0.261 0.000 0.750 As
0.265 0.500 0.259 As
0.735 0.500 0.741 As
0.739 0.000 0.250 As


AcSmEr2As4, optimized geometry, DFT GGA-PBE; DFT formation energy = -1.471 eV per atom; SG = P2/m, No. 10; size of the total moment = 0.0000 μB per atom
1.0
7.334 0.000 0.000
0.000 4.240 0.000
-2.443 0.000 6.927
Ac Sm Er As
1 1 2 4
direct
0.000 0.000 0.000 Ac
0.000 0.500 0.500 Sm
0.500 0.000 0.500 Er
0.500 0.500 0.000 Er
0.264 0.000 0.747 As
0.270 0.500 0.265 As
0.730 0.500 0.735 As
0.736 0.000 0.253 As


Ac2TbErAs4, optimized geometry, DFT GGA-PBE; DFT formation energy = -1.468 eV per atom; SG = P2/m, No. 10; size of the total moment = 0.0000 μB per atom
1.0
7.502 0.000 0.000
0.000 4.334 0.000
-2.498 0.000 7.077
Ac Tb Er As
2 1 1 4
direct
0.000 0.000 0.000 Ac
0.500 0.500 0.000 Ac
0.000 0.500 0.500 Tb
0.500 0.000 0.500 Er
0.244 0.000 0.727 As
0.260 0.500 0.274 As
0.740 0.500 0.726 As
0.756 0.000 0.273 As


AcTbEr2As4, optimized geometry, DFT GGA-PBE; DFT formation energy = -1.466 eV per atom; SG = P2/m, No. 10; size of the total moment = 0.0000 μB per atom
1.0
7.307 0.000 0.000
0.000 4.222 0.000
-2.430 0.000 6.898
Ac Tb Er As
1 1 2 4
direct
0.000 0.000 0.000 Ac
0.000 0.500 0.500 Tb
0.500 0.000 0.500 Er
0.500 0.500 0.000 Er
0.261 0.000 0.744 As
0.269 0.500 0.266 As
0.731 0.500 0.734 As
0.739 0.000 0.256 As


Ac4ErTh3As8, optimized geometry, DFT GGA-PBE; DFT formation energy = -1.451 eV per atom; SG = R-3m, No. 166; size of the total moment = 0.0000 μB per atom
1.0
4.357 2.516 7.197
-4.357 2.516 7.197
0.000 -5.032 7.197
Ac Er Th As
4 1 3 8
direct
0.000 0.000 0.000 Ac
0.000 0.500 0.500 Ac
0.500 0.000 0.500 Ac
0.500 0.500 0.000 Ac
0.500 0.500 0.500 Er
0.000 0.000 0.500 Th
0.000 0.500 0.000 Th
0.500 0.000 0.000 Th
0.244 0.244 0.244 As
0.246 0.741 0.741 As
0.259 0.259 0.754 As
0.259 0.754 0.259 As
0.741 0.246 0.741 As
0.741 0.741 0.246 As
0.754 0.259 0.259 As
0.756 0.756 0.756 As


Ac2YErAs4, optimized geometry, DFT GGA-PBE; DFT formation energy = -1.472 eV per atom; SG = P2/m, No. 10; size of the total moment = 0.0000 μB per atom
1.0
7.497 0.000 0.000
0.000 4.331 0.000
-2.497 0.000 7.070
Ac Y Er As
2 1 1 4
direct
0.000 0.000 0.000 Ac
0.000 0.500 0.500 Ac
0.500 0.000 0.500 Y
0.500 0.500 0.000 Er
0.273 0.500 0.256 As
0.274 0.000 0.759 As
0.726 0.000 0.241 As
0.727 0.500 0.744 As


AcY2ErAs4, optimized geometry, DFT GGA-PBE; DFT formation energy = -1.477 eV per atom; SG = P2/m, No. 10; size of the total moment = 0.0000 μB per atom
1.0
7.323 0.000 0.000
0.000 4.231 0.000
-2.432 0.000 6.909
Ac Y Er As
1 2 1 4
direct
0.000 0.000 0.000 Ac
0.000 0.500 0.500 Y
0.500 0.000 0.500 Y
0.500 0.500 0.000 Er
0.259 0.000 0.745 As
0.266 0.500 0.264 As
0.734 0.500 0.736 As
0.741 0.000 0.255 As


AcEuAs4, optimized geometry, DFT GGA-PBE; DFT formation energy = -0.555 eV per atom; SG = F-43m, No. 216; size of the total moment = 1.1858 μB per atom
1.0
0.000 4.162 4.162
4.162 0.000 4.162
4.162 4.162 0.000
Ac Eu As
1 1 4
direct
0.000 0.000 0.000 Ac
0.750 0.750 0.750 Eu
0.376 0.376 0.376 As
0.376 0.376 0.871 As
0.376 0.871 0.376 As
0.871 0.376 0.376 As


AcEuAs2, optimized geometry, DFT GGA-PBE; DFT formation energy = -1.055 eV per atom; SG = Fm-3m, No. 225; E above lowest polymorph = 203 meV/atom; size of the total moment = 1.6627 μB per atom
1.0
0.000 3.802 3.802
3.802 0.000 3.802
3.802 3.802 0.000
Ac Eu As
1 1 2
direct
0.000 0.000 0.000 Ac
0.500 0.500 0.500 Eu
0.250 0.250 0.250 As
0.750 0.750 0.750 As


AcEuAs2, optimized geometry, DFT GGA-PBE; DFT formation energy = -1.259 eV per atom; SG = R-3m, No. 166; E above lowest polymorph = 0 meV/atom; size of the total moment = 1.5850 μB per atom
1.0
2.226 1.285 7.192
-2.226 1.285 7.192
0.000 -2.571 7.192
Ac Eu As
1 1 2
direct
0.000 0.000 0.000 Ac
0.500 0.500 0.500 Eu
0.246 0.246 0.246 As
0.754 0.754 0.754 As


Ac3EuAs, optimized geometry, DFT GGA-PBE; DFT formation energy = -0.366 eV per atom; SG = Pm-3m, No. 221; size of the total moment = 1.6097 μB per atom
1.0
6.112 0.000 0.000
0.000 6.112 0.000
0.000 0.000 6.112
Ac Eu As
3 1 1
direct
0.000 0.000 0.500 Ac
0.000 0.500 0.000 Ac
0.500 0.000 0.000 Ac
0.500 0.500 0.500 Eu
0.000 0.000 0.000 As


AcEuAs2, optimized geometry, DFT GGA-PBE; DFT formation energy = -1.042 eV per atom; SG = P4/mmm, No. 123; E above lowest polymorph = 217 meV/atom; size of the total moment = 1.6749 μB per atom
1.0
5.480 0.000 0.000
0.000 5.480 0.000
0.000 0.000 3.673
Ac Eu As
1 1 2
direct
0.000 0.000 0.000 Ac
0.500 0.500 0.000 Eu
0.000 0.500 0.500 As
0.500 0.000 0.500 As


AcEuNiAs, optimized geometry, DFT GGA-PBE; DFT formation energy = -0.585 eV per atom; SG = F-43m, No. 216; size of the total moment = 1.7500 μB per atom
1.0
0.000 3.711 3.711
3.711 0.000 3.711
3.711 3.711 0.000
Ac Eu Ni As
1 1 1 1
direct
0.000 0.000 0.000 Ac
0.500 0.500 0.500 Eu
0.250 0.250 0.250 Ni
0.750 0.750 0.750 As


AcEuAsP, optimized geometry, DFT GGA-PBE; DFT formation energy = -1.016 eV per atom; SG = F-43m, No. 216; size of the total moment = 1.6415 μB per atom
1.0
0.000 3.749 3.749
3.749 0.000 3.749
3.749 3.749 0.000
Ac Eu As P
1 1 1 1
direct
0.000 0.000 0.000 Ac
0.500 0.500 0.500 Eu
0.250 0.250 0.250 As
0.750 0.750 0.750 P


AcEuAsRh, optimized geometry, DFT GGA-PBE; DFT formation energy = -0.704 eV per atom; SG = F-43m, No. 216; size of the total moment = 1.6533 μB per atom
1.0
0.000 3.714 3.714
3.714 0.000 3.714
3.714 3.714 0.000
Ac Eu As Rh
1 1 1 1
direct
0.000 0.000 0.000 Ac
0.500 0.500 0.500 Eu
0.750 0.750 0.750 As
0.250 0.250 0.250 Rh


AcEuSbAs, optimized geometry, DFT GGA-PBE; SG = F-43m, No. 216; uncorrected formation energy = -0.948 eV per atom; size of the total moment = 1.6958 μB per atom
1.0
0.000 3.927 3.927
3.927 0.000 3.927
3.927 3.927 0.000
Ac Eu Sb As
1 1 1 1
direct
0.000 0.000 0.000 Ac
0.500 0.500 0.500 Eu
0.250 0.250 0.250 Sb
0.750 0.750 0.750 As


AcEuZnAs, optimized geometry, DFT GGA-PBE; DFT formation energy = -0.605 eV per atom; SG = F-43m, No. 216; size of the total moment = 1.9286 μB per atom
1.0
0.000 3.812 3.812
3.812 0.000 3.812
3.812 3.812 0.000
Ac Eu Zn As
1 1 1 1
direct
0.000 0.000 0.000 Ac
0.500 0.500 0.500 Eu
0.250 0.250 0.250 Zn
0.750 0.750 0.750 As


Ac2AsF8, optimized geometry, DFT GGA-PBE; SG = C2, No. 5; uncorrected formation energy = -3.415 eV per atom; size of the total moment = 0.0909 μB per atom
1.0
7.956 -1.998 0.000
7.956 1.998 0.000
-2.288 0.000 5.903
Ac As F
2 1 8
direct
0.179 0.179 0.185 Ac
0.821 0.821 0.815 Ac
0.659 0.341 0.500 As
0.009 0.051 0.330 F
0.217 0.218 0.836 F
0.315 0.317 0.546 F
0.404 0.406 0.011 F
0.594 0.596 0.989 F
0.683 0.685 0.454 F
0.782 0.783 0.164 F
0.949 0.991 0.670 F


AcAsF6, optimized geometry, DFT GGA-PBE; SG = C2/m, No. 12; uncorrected formation energy = -3.027 eV per atom; size of the total moment = 0.0000 μB per atom
1.0
3.239 -3.658 0.000
3.239 3.658 0.000
-0.851 0.000 4.825
Ac As F
1 1 6
direct
0.000 0.000 0.000 Ac
0.500 0.500 0.500 As
0.195 0.195 0.566 F
0.195 0.562 0.195 F
0.438 0.805 0.805 F
0.562 0.195 0.195 F
0.805 0.438 0.805 F
0.805 0.805 0.434 F


AcAs2F8, optimized geometry, DFT GGA-PBE; SG = C2/m, No. 12; uncorrected formation energy = -2.616 eV per atom; size of the total moment = 0.0000 μB per atom
1.0
5.387 -2.517 0.000
5.387 2.517 0.000
-0.867 0.000 6.197
Ac As F
1 2 8
direct
0.000 0.000 0.000 Ac
0.243 0.243 0.606 As
0.757 0.757 0.394 As
0.075 0.605 0.220 F
0.091 0.091 0.376 F
0.392 0.392 0.841 F
0.395 0.925 0.780 F
0.605 0.075 0.220 F
0.608 0.608 0.159 F
0.909 0.909 0.624 F
0.925 0.395 0.780 F


Ac3AsF, optimized geometry, DFT GGA-PBE; SG = Pm-3m, No. 221; uncorrected formation energy = -1.020 eV per atom; size of the total moment = 0.0001 μB per atom
1.0
5.293 0.000 0.000
0.000 5.293 0.000
0.000 0.000 5.293
Ac As F
3 1 1
direct
0.000 0.000 0.500 Ac
0.000 0.500 0.000 Ac
0.500 0.000 0.000 Ac
0.500 0.500 0.500 As
0.000 0.000 0.000 F


AcAs4F, optimized geometry, DFT GGA-PBE; SG = F-43m, No. 216; uncorrected formation energy = -0.721 eV per atom; size of the total moment = 0.0001 μB per atom
1.0
0.000 4.035 4.035
4.035 0.000 4.035
4.035 4.035 0.000
Ac As F
1 4 1
direct
0.000 0.000 0.000 Ac
0.152 0.616 0.616 As
0.616 0.152 0.616 As
0.616 0.616 0.152 As
0.616 0.616 0.616 As
0.250 0.250 0.250 F


Ac2AsOF, optimized geometry, DFT GGA-PBE; SG = I-4m2, No. 119; uncorrected formation energy = -2.771 eV per atom; size of the total moment = 0.0000 μB per atom
1.0
-2.048 2.048 6.708
2.048 -2.048 6.708
2.048 2.048 -6.708
Ac As O F
2 1 1 1
direct
0.138 0.138 0.000 Ac
0.862 0.862 0.000 Ac
0.500 0.500 0.000 As
0.250 0.750 0.500 O
0.750 0.250 0.500 F


Ac2AsO4F2, optimized geometry, DFT GGA-PBE; SG = C2/m, No. 12; uncorrected formation energy = -2.661 eV per atom; size of the total moment = 0.0000 μB per atom
1.0
4.917 -2.864 0.000
4.917 2.864 0.000
-0.106 0.000 4.443
Ac As O F
2 1 4 2
direct
0.162 0.162 0.241 Ac
0.838 0.838 0.759 Ac
0.500 0.500 0.500 As
0.148 0.654 0.290 O
0.346 0.852 0.710 O
0.654 0.148 0.290 O
0.852 0.346 0.710 O
0.327 0.327 0.772 F
0.673 0.673 0.228 F